# LiTmW2O8

A PBEsol-optimized structure of LiTmW2O8 (SCAN, the Alexandria database).

abc: 4.9667 5.8052 10.8088
angles: 90.00 114.59 90.00
Last column: nearest neighbours and their distance in Å.
Space group P2/c (No. 13)
Symmetry-distinct sites (fractional):
Li 0.0000 0.2218 0.2500 x2  4 O 2.05-2.08
Tm 0.5000 0.1845 0.7500 x2  6 O 2.18-2.28
W 0.2658 0.3207 0.0144 x4  4 O 1.79-1.98
O 0.1557 0.3915 0.5974 x4  2 W 1.98-2.08, 1 Tm 2.18
O 0.2309 0.1253 0.1354 x4  1 W 1.79
O 0.2809 0.1290 0.8863 x4  1 W 1.80
O 0.3428 0.4097 0.3878 x4  1 W 1.86, 1 Li 2.05

Values from the calculation:
raw formation energy: -2.730 eV per atom
calculated total energy: -552.410 eV/cell
density of states at the Fermi level: 0.000 states/eV/atom



# LiUO3

A PBEsol-optimized structure of LiUO3 (SCAN, the Alexandria database).

abc: 5.4084 5.4084 14.8374
angles: 90.00 90.00 120.00
Last column: nearest neighbours and their distance in Å.
Space group R3c (No. 161, hexagonal axes)
Symmetry-distinct sites (fractional):
Li 0.0000 0.0000 0.0000 x6  3 O 1.97
U 0.0000 0.0000 0.2756 x6  6 O 2.14-2.15
O 0.0130 0.3607 0.0306 x18  1 Li 1.97, 2 U 2.14-2.15

Values from the calculation:
raw formation energy: -3.113 eV per atom
calculated total energy: -841.068 eV/cell



# Li3UO4

A PBEsol-optimized structure of Li3UO4 (SCAN, the Alexandria database).

abc: 4.4332 4.4332 8.3695
angles: 90.00 90.00 90.00
Last column: nearest neighbours and their distance in Å.
Space group I4/mmm (No. 139)
Symmetry-distinct sites (fractional):
Li 0.0000 0.0000 0.0000 x2  6 O 2.18-2.22
Li 0.0000 0.5000 0.2500 x4  6 O 2.09-2.22
U 0.0000 0.0000 0.5000 x2  6 O 2.01-2.22
O 0.0000 0.0000 0.2603 x4  1 U 2.01, 5 Li 2.18-2.22
O 0.0000 0.5000 0.0000 x4  4 Li 2.09-2.22, 2 U 2.22

Values from the calculation:
raw formation energy: -2.784 eV per atom
calculated total energy: -315.787 eV/cell



# Li2U3V2O15

A PBEsol-optimized structure of Li2U3V2O15 (SCAN, the Alexandria database).

abc: 7.3296 7.3296 24.6044
angles: 90.00 90.00 90.00
Last column: nearest neighbours and their distance in Å.
Space group I4_1/amd (No. 141, origin choice 2)
Symmetry-distinct sites (fractional):
Li 0.0000 0.2500 0.0292 x8  3 O 1.86-1.96
U 0.0000 0.2500 0.2896 x8  2 O 1.82
U 0.0000 0.2500 0.8750 x4  2 O 1.83
V 0.0000 0.2500 0.1574 x8  4 O 1.71
O 0.0000 0.0016 0.2882 x16  1 U 1.82, 1 Li 1.86
O 0.0000 0.0567 0.1187 x16  1 V 1.71
O 0.0000 0.0725 0.5472 x16  1 V 1.71
O 0.0000 0.2500 0.3750 x4  2 U 2.10
O 0.0000 0.2500 0.8006 x8  1 U 1.83, 1 Li 1.96

Values from the calculation:
raw formation energy: -2.927 eV per atom
calculated total energy: -2032.786 eV/cell
density of states at the Fermi level: 0.000 states/eV/atom



# LiVO2

A PBEsol-optimized structure of LiVO2 (SCAN, the Alexandria database).

abc: 8.1081 8.1081 8.1081
angles: 90.00 90.00 90.00
Last column: nearest neighbours and their distance in Å.
Space group Fd-3m (No. 227, origin choice 2)
Symmetry-distinct sites (fractional):
Li 0.0000 0.0000 0.0000 x16  6 O 2.06
V 0.0000 0.0000 0.5000 x16  6 O 2.00
O 0.0034 0.0034 0.7466 x32  3 V 2.00, 3 Li 2.06

Values from the calculation:
raw formation energy: -2.539 eV per atom
calculated total energy: -679.936 eV/cell
density of states at the Fermi level: 0.294 states/eV/atom



# Li3V6O16

A PBEsol-optimized structure of Li3V6O16 (SCAN, the Alexandria database).

abc: 6.6631 3.5857 11.7270
angles: 90.00 104.78 90.00
Last column: nearest neighbours and their distance in Å.
Space group Pm (No. 6)
Symmetry-distinct sites (fractional):
Li 0.0000 0.0000 0.0000 x1  4 O 2.04-2.26
Li 0.2906 0.0000 0.3687 x1  4 O 1.97-2.11
Li 0.6326 0.5000 0.6418 x1  4 O 2.03-2.23
V 0.0821 0.5000 0.5169 x1  1 O 1.62
V 0.1225 0.5000 0.7823 x1  2 O 1.62-1.74
V 0.5087 0.0000 0.8556 x1  2 O 1.62-1.74
V 0.5500 0.0000 0.1222 x1  1 O 1.61
V 0.7013 0.0000 0.4012 x1  2 O 1.63-1.76
V 0.9362 0.5000 0.2341 x1  1 O 1.61
O 0.0069 0.0000 0.4929 x1  3 V 1.86-2.05
O 0.0460 0.5000 0.1264 x1  1 V 1.61
O 0.1505 0.5000 0.3662 x1  2 V 1.82-1.94, 2 Li 2.02
O 0.2069 0.0000 0.7782 x1  3 V 1.88-1.98
O 0.3163 0.0000 0.0402 x1  1 V 1.61
O 0.3169 0.5000 0.5996 x1  1 V 1.62
O 0.4242 0.5000 0.8598 x1  3 V 1.88-1.98
O 0.4945 0.0000 0.2735 x1  2 V 1.76-1.90, 1 Li 1.97
O 0.5719 0.0000 0.5022 x1  1 V 1.63
O 0.6329 0.5000 0.1455 x1  3 V 1.88-2.02
O 0.6386 0.0000 0.7560 x1  1 V 1.62
O 0.6877 0.0000 0.9921 x1  1 V 1.74
O 0.7701 0.5000 0.3914 x1  2 V 1.86
O 0.8771 0.0000 0.2503 x1  2 V 1.86
O 0.9426 0.5000 0.6454 x1  1 V 1.74
O 0.9916 0.5000 0.8810 x1  1 V 1.62

Values from the calculation:
raw formation energy: -2.551 eV per atom
calculated total energy: -275.569 eV/cell
density of states at the Fermi level: 0.062 states/eV/atom



# LiV2O4

A PBEsol-optimized structure of LiV2O4 (SCAN, the Alexandria database).

abc: 4.9598 5.7092 5.2399
angles: 90.00 93.41 90.00
Last column: nearest neighbours and their distance in Å.
Space group P2_1/m (No. 11)
Symmetry-distinct sites (fractional):
Li 0.2137 0.2500 0.4451 x2  3 O 1.89-2.02
V 0.0000 0.0000 0.0000 x2  6 O 1.94-1.97
V 0.4856 0.7500 0.0097 x2  6 O 1.94-1.99
O 0.1444 0.7500 0.7968 x2  3 V 1.94-1.97, 1 Li 2.12
O 0.1608 0.2500 0.7997 x2  1 Li 1.89, 3 V 1.97
O 0.3452 0.0079 0.2014 x4  3 V 1.94-1.99, 1 Li 2.02

Values from the calculation:
raw formation energy: -2.545 eV per atom
ΔE to the lowest computed polymorph: 82.5 meV/atom
calculated total energy: -160.212 eV/cell
density of states at the Fermi level: 0.390 states/eV/atom



# LiV6O13

A PBEsol-optimized structure of LiV6O13 (SCAN, the Alexandria database).

abc: 21.2515 3.7285 11.7298
angles: 90.00 112.26 90.00
Last column: nearest neighbours and their distance in Å.
Space group C2/m (No. 12)
Symmetry-distinct sites (fractional):
Li 0.1997 0.0000 0.2168 x4  4 O 2.11-2.28
V 0.0656 0.0000 0.4758 x4  2 O 1.70-1.79
V 0.0671 0.0000 0.7799 x4  1 O 1.66
V 0.0673 0.5000 0.2795 x4  2 O 1.66-1.86
V 0.0670 0.5000 0.9770 x4  2 O 1.69-1.79
V 0.2451 0.0000 0.5932 x4  4 O 1.80-1.88
V 0.2486 0.0000 0.9025 x4  5 O 1.80-1.94
O 0.0451 0.0000 0.6106 x4  2 V 1.79-1.86
O 0.0448 0.5000 0.1099 x4  2 V 1.79-1.86
O 0.0473 0.0000 0.2921 x4  3 V 1.93-2.04
O 0.0475 0.5000 0.7945 x4  3 V 1.93-2.02
O 0.0574 0.0000 0.9394 x4  3 V 1.91-1.96
O 0.0569 0.5000 0.4364 x4  3 V 1.91-1.93
O 0.1514 0.0000 0.8315 x4  1 V 1.66
O 0.1518 0.0000 0.5337 x4  2 V 1.70-1.84
O 0.1517 0.5000 0.3263 x4  1 V 1.66
O 0.1529 0.5000 0.0404 x4  1 V 1.69
O 0.2486 0.0000 0.4230 x4  3 V 1.88-2.03
O 0.2496 0.0000 0.0757 x4  3 V 1.88-2.02
O 0.2502 0.0000 0.7498 x4  2 V 1.80

Values from the calculation:
raw formation energy: -2.591 eV per atom
calculated total energy: -960.587 eV/cell
density of states at the Fermi level: 0.123 states/eV/atom